Entry 1:
The following is a SCAN calculation of a PBEsol-optimized structure of Hf3C, from Alexandria.

Output
- density of states at the Fermi level (states/eV per cell) = 4.91
- formation enthalpy at 0 K (eV/atom) = 0.796
- final energy (eV/f.u.) = -194.9
- magnetic moment (μB/f.u.) = 0.0

abc: 3.870 3.870 8.969
angles: 90.00 90.00 90.00
Space group I4/mmm (No. 139)
Asymmetric unit:
Hf  0.000  0.000  0.000 x2
Hf  0.000  0.500  0.250 x4
C  0.000  0.000  0.500 x2

---

Entry 2:
The following is a SCAN calculation of a PBEsol-optimized structure of Hf2HgC, from Alexandria.

Output
- density of states at the Fermi level (states/eV per cell) = 6.47
- formation enthalpy at 0 K (eV/atom) = -0.156
- final energy (eV/f.u.) = -204.2
- magnetic moment (μB/f.u.) = 0.0

abc: 6.572 6.572 6.682
angles: 90.00 90.00 90.00
Space group I-42d (No. 122)
Asymmetric unit:
Hf  0.169  0.250  0.125 x8
Hg  0.000  0.000  0.500 x4
C  0.000  0.000  0.000 x4

---

Entry 3:
The following is a SCAN calculation of a PBEsol-optimized structure of HfInHgC2, from Alexandria.

Output
- density of states at the Fermi level (states/eV per cell) = 2.76
- formation enthalpy at 0 K (eV/atom) = 1.434
- final energy (eV/f.u.) = -177.3
- magnetic moment (μB/f.u.) = 0.0

abc: 4.238 4.238 5.803
angles: 90.00 90.00 90.00
Space group P4/mmm (No. 123)
Asymmetric unit:
Hf  0.000  0.000  0.000 x1
In  0.000  0.000  0.500 x1
Hg  0.500  0.500  0.500 x1
C  0.000  0.500  0.000 x2

---

Entry 4:
The following is a SCAN calculation of a PBEsol-optimized structure of HfHg2RhC, from Alexandria.

Output
- density of states at the Fermi level (states/eV per cell) = 2.71
- formation enthalpy at 0 K (eV/atom) = 1.366
- final energy (eV/f.u.) = -236.0
- magnetic moment (μB/f.u.) = 1.6

abc: 5.378 5.378 3.968
angles: 90.00 90.00 90.00
Space group P4/mmm (No. 123)
Asymmetric unit:
Hf  0.000  0.000  0.000 x1
Hg  0.000  0.500  0.000 x2
Rh  0.500  0.500  0.500 x1
C  0.000  0.000  0.500 x1

---

Entry 5:
The following is a SCAN calculation of a PBEsol-optimized structure of RbHfC2I, from Alexandria.

Output
- density of states at the Fermi level (states/eV per cell) = 4.23
- ΔE_f (raw) (eV/f.u.) = 16.43
- final energy (eV/f.u.) = -123.9
- magnetic moment (μB/f.u.) = 0.4

abc: 4.389 4.389 5.801
angles: 90.00 90.00 90.00
Space group P4/mmm (No. 123)
Asymmetric unit:
Rb  0.000  0.000  0.000 x1
Hf  0.500  0.500  0.500 x1
C  0.000  0.500  0.000 x2
I  0.000  0.000  0.500 x1

---

Entry 6:
The following is a SCAN calculation of a PBEsol-optimized structure of HfTeCI2, from Alexandria.

Output
- density of states at the Fermi level (states/eV per cell) = 4.70
- ΔE_f (raw) (eV/f.u.) = 5.40
- final energy (eV/f.u.) = -178.1
- magnetic moment (μB/f.u.) = 2.0

abc: 5.574 5.574 5.495
angles: 90.00 90.00 90.00
Space group P4/mmm (No. 123)
Asymmetric unit:
Hf  0.000  0.000  0.000 x1
Te  0.000  0.000  0.500 x1
C  0.500  0.500  0.500 x1
I  0.000  0.500  0.000 x2

---

Copy entry 1 word for word.
The following is a SCAN calculation of a PBEsol-optimized structure of Hf3C, from Alexandria.

Output
- density of states at the Fermi level (states/eV per cell) = 4.91
- formation enthalpy at 0 K (eV/atom) = 0.796
- final energy (eV/f.u.) = -194.9
- magnetic moment (μB/f.u.) = 0.0

abc: 3.870 3.870 8.969
angles: 90.00 90.00 90.00
Space group I4/mmm (No. 139)
Asymmetric unit:
Hf  0.000  0.000  0.000 x2
Hf  0.000  0.500  0.250 x4
C  0.000  0.000  0.500 x2

---

Q: Which formula does entry 3 have?
A: HfInHgC2

---

Q: What is the magnetic moment in the first record?
A: 0.0 μB/f.u.